This record from Alexandria describes a relaxed Tb2PuZn crystal. The functional is PBE-GGA.

Cell: 3.529 3.529 8.504 Å, 90.00 90.00 90.00°
Each line ends with the local moment (μB).
Sites, in units of the cell vectors:
Zn 0.500 0.500 0.000  -0.01
Tb 0.000 0.000 0.789  0.18
Tb 0.000 0.000 0.211  0.18
Pu 0.500 0.500 0.500  5.58

Computed properties:
Spin magnetization   6.488 μB/cell
Symmetry   No. 123
ρ   9.8 g cm⁻³
Energy relative to the elements   -0.07 eV/atom
Distance to the lowest polymorph of the same formula   0.000 eV per atom

---

This record from Alexandria describes a relaxed Tb5PuZn4 crystal. The functional is PBE-GGA.

Cell: 3.564 3.564 19.168 Å, 90.00 90.00 90.00°
Each line ends with the local moment (μB).
Sites, in units of the cell vectors:
Tb 0.500 0.500 0.126  0.15
Tb 0.500 0.500 0.874  0.15
Tb 0.500 0.500 0.313  -0.01
Tb 0.500 0.500 0.687  -0.01
Tb 0.500 0.500 0.500  0.00
Zn 0.000 0.000 0.782  -0.01
Zn 0.000 0.000 0.218  -0.01
Zn 0.000 0.000 0.406  0.00
Zn 0.000 0.000 0.594  0.00
Pu 0.000 0.000 0.000  5.55

Computed properties:
Spin magnetization   6.281 μB/cell
Symmetry   No. 123
ρ   8.9 g cm⁻³
Energy relative to the elements   -0.23 eV/atom

---

This record from Alexandria describes a relaxed Tb2PuZn crystal. The functional is PBE-GGA.

Cell: 3.410 3.410 11.436 Å, 81.43 81.43 60.00°
Each line ends with the local moment (μB).
Sites, in units of the cell vectors:
Zn 0.500 0.500 0.500  0.01
Tb 0.901 0.901 0.296  0.06
Tb 0.099 0.099 0.704  0.06
Pu 0.000 0.000 0.000  5.78

Computed properties:
Spin magnetization   6.419 μB/cell
Symmetry   No. 166
ρ   9.2 g cm⁻³
Energy relative to the elements   0.22 eV/atom
Distance to the lowest polymorph of the same formula   0.295 eV per atom

---

This record from Alexandria describes a relaxed Tb2PuZn crystal. The functional is PBE-GGA.

Cell: 5.296 5.296 5.296 Å, 60.00 60.00 60.00°
Each line ends with the local moment (μB).
Sites, in units of the cell vectors:
Zn 0.500 0.500 0.500  -0.03
Tb 0.250 0.250 0.250  0.26
Tb 0.750 0.750 0.750  0.26
Pu 0.000 0.000 0.000  5.62

Computed properties:
Spin magnetization   6.424 μB/cell
Symmetry   No. 225
ρ   9.9 g cm⁻³
Energy relative to the elements   0.12 eV/atom
Distance to the lowest polymorph of the same formula   0.197 eV per atom